Compound: RbMg
Source: Alexandria
Functional: PBE-GGA
Structure: relaxed

a b c (Å): 6.753 6.753 7.792
angles (deg): 90.00 90.00 120.00
Atoms (fractional coordinates):
Rb1 0.333 0.667 0.250
Rb2 0.667 0.333 0.750
Mg1 0.333 0.667 0.750
Mg2 0.667 0.333 0.250

ΔH_f (0 K) ... 0.552 eV/atom
Space-group type ... P6_3/mmc, No. 194
Spin magnetization ... 0.00 μB per formula unit

Compound: Li2CuF4
Source: Alexandria
Functional: PBE-GGA
Structure: relaxed

a b c (Å): 10.689 3.082 4.989
angles (deg): 90.00 117.04 90.00
Atoms (fractional coordinates):
Li1 0.204 0.000 0.220
Li2 0.296 0.500 0.780
Li3 0.704 0.500 0.220
Li4 0.796 0.000 0.780
Cu1 0.000 0.500 0.500
Cu2 0.500 0.000 0.500
F1 0.129 0.500 0.334
F2 0.132 0.000 0.791
F3 0.368 0.500 0.209
F4 0.371 0.000 0.666
F5 0.629 0.000 0.334
F6 0.632 0.500 0.791
F7 0.868 0.000 0.209
F8 0.871 0.500 0.666

Space-group type ... C2/m, No. 12
ΔE to the lowest computed polymorph ... 41 meV/atom
Uncorrected formation energy ... -2.30 eV/atom
Spin magnetization ... 1.00 μB per formula unit

Compound: Cs2ScFe
Source: Alexandria
Functional: PBE-GGA
Structure: relaxed

a b c (Å): 9.080 9.080 9.080
angles (deg): 90.00 90.00 90.00
Atoms (fractional coordinates):
Cs1 0.250 0.250 0.250
Cs2 0.250 0.250 0.750
Cs3 0.250 0.750 0.250
Cs4 0.250 0.750 0.750
Cs5 0.750 0.250 0.250
Cs6 0.750 0.250 0.750
Cs7 0.750 0.750 0.250
Cs8 0.750 0.750 0.750
Sc1 0.000 0.000 0.000
Sc2 0.000 0.500 0.500
Sc3 0.500 0.000 0.500
Sc4 0.500 0.500 0.000
Fe1 0.000 0.000 0.500
Fe2 0.000 0.500 0.000
Fe3 0.500 0.000 0.000
Fe4 0.500 0.500 0.500

ΔH_f (0 K) ... 1.433 eV/atom
Space-group type ... Fm-3m, No. 225
Spin magnetization ... 4.88 μB per formula unit

Compound: Rh2W
Source: Alexandria
Functional: PBE-GGA
Structure: relaxed

a b c (Å): 7.452 7.452 2.790
angles (deg): 90.00 90.00 120.00
Atoms (fractional coordinates):
Rh1 0.000 0.360 0.000
Rh2 0.000 0.698 0.500
Rh3 0.302 0.302 0.500
Rh4 0.360 0.000 0.000
Rh5 0.640 0.640 0.000
Rh6 0.698 0.000 0.500
W1 0.000 0.000 0.000
W2 0.333 0.667 0.500
W3 0.667 0.333 0.500

ΔH_f (0 K) ... -0.165 eV/atom
Space-group type ... P-62m, No. 189
Spin magnetization ... 0.00 μB per formula unit